Record 1
Material: RbMgTl2Bi
Method: DFT, PBE
State: relaxed

Cell: 5.759 5.759 5.730 Å, 90.00 90.00 90.00°
Fractional positions:
Mg 0.000 0.000 0.000
Tl 0.000 0.500 0.000
Tl 0.500 0.000 0.000
Bi 0.000 0.000 0.500
Rb 0.500 0.500 0.500

## Properties
The energy above the most stable polymorph in this dataset comes out at 0.000 eV/atom. The calculation puts the total energy at -2.2444 eV/atom. Its density of states at the Fermi level is 3.2 states/eV per cell. The calculated formation energy comes out at -0.009 eV/atom.

Record 2
Material: TbTm2Cd3
Method: DFT, PBE
State: relaxed

Cell: 3.717 3.717 11.156 Å, 90.00 90.00 90.00°
Fractional positions:
Tb 0.500 0.500 0.500
Tm 0.500 0.500 0.835
Tm 0.500 0.500 0.165
Cd 0.000 0.000 0.000
Cd 0.000 0.000 0.672
Cd 0.000 0.000 0.328

## Properties
The calculation puts the total energy at -3.0341 eV/atom. Its density of states at the Fermi level is 5.4 states/eV per cell. The calculated formation energy comes out at -0.314 eV/atom.

Record 3
Material: Zr2MnAs
Method: DFT, PBE
State: relaxed

Cell: 7.444 7.444 7.444 Å, 27.66 27.66 27.66°
Site moments in Bohr magnetons follow the coordinates.
Fractional positions:
As 0.250 0.250 0.250  0.05
Mn 0.750 0.750 0.750  2.00
Zr 0.999 0.999 0.999  -0.25
Zr 0.501 0.501 0.501  -0.25

## Properties
The calculation puts the total energy at -7.9743 eV/atom. Its density of states at the Fermi level is 3.8 states/eV per cell. The calculated formation energy comes out at -0.245 eV/atom.

Record 4
Material: SmTl2Ge2Pt7
Method: DFT, PBE
State: relaxed

Cell: 4.073 4.073 15.142 Å, 78.82 78.82 90.07°
Fractional positions:
Sm 0.000 0.000 0.000
Tl 0.699 0.699 0.400
Tl 0.301 0.301 0.600
Ge 0.682 0.682 0.750
Ge 0.318 0.318 0.250
Pt 0.500 0.500 0.000
Pt 0.183 0.183 0.417
Pt 0.817 0.817 0.583
Pt 0.890 0.390 0.151
Pt 0.390 0.890 0.151
Pt 0.610 0.110 0.849
Pt 0.110 0.610 0.849

## Properties
The calculation puts the total energy at -5.5608 eV/atom. Its density of states at the Fermi level is 3.9 states/eV per cell. The calculated formation energy comes out at -0.480 eV/atom.

Record 5
Material: Tm4GeSe2
Method: DFT, PBE
State: relaxed

Cell: 3.988 6.697 13.479 Å, 90.00 90.00 107.32°
Fractional positions:
Ge 0.395 0.790 0.250
Ge 0.605 0.210 0.750
Tm 0.218 0.437 0.629
Tm 0.782 0.563 0.371
Tm 0.782 0.563 0.129
Tm 0.218 0.437 0.871
Tm 0.946 0.892 0.750
Tm 0.054 0.108 0.250
Tm 0.500 0.000 0.000
Tm 0.500 0.000 0.500
Se 0.860 0.720 0.938
Se 0.140 0.280 0.062
Se 0.860 0.720 0.562
Se 0.140 0.280 0.438

## Properties
The calculation puts the total energy at -5.4167 eV/atom. Its density of states at the Fermi level is 8.6 states/eV per cell.

Record 6
Material: CaMn3Pt
Method: DFT, PBE
State: relaxed

Cell: 4.534 4.534 4.534 Å, 90.00 90.00 90.00°
Site moments in Bohr magnetons follow the coordinates.
Fractional positions:
Ca 0.000 0.000 0.000  -0.15
Mn 0.000 0.500 0.000  3.56
Mn 0.000 0.000 0.500  2.99
Mn 0.500 0.000 0.000  3.97
Pt 0.500 0.500 0.500  0.16

## Properties
The energy above the most stable polymorph in this dataset comes out at 1.343 eV/atom. The calculation puts the total energy at -5.3544 eV/atom. Its density of states at the Fermi level is 4.7 states/eV per cell. The calculated formation energy comes out at 1.756 eV/atom.

Record 7
Material: Pm3Ho3Tm2
Method: DFT, PBE
State: relaxed

Cell: 5.685 5.973 8.716 Å, 111.15 109.03 90.00°
Fractional positions:
Pm 0.365 0.928 0.730
Pm 0.500 0.500 0.000
Pm 0.635 0.072 0.270
Ho 0.867 0.314 0.734
Ho 0.133 0.686 0.266
Ho 0.000 0.000 0.000
Tm 0.750 0.682 0.499
Tm 0.250 0.318 0.501

## Properties
The energy above the most stable polymorph in this dataset comes out at 0.063 eV/atom. The calculation puts the total energy at -4.5304 eV/atom. Its density of states at the Fermi level is 13.6 states/eV per cell. The calculated formation energy comes out at 0.086 eV/atom.